A relaxed SrAlCuP2 crystal, computed with PBE.

abc: 4.830 4.532 4.830
angles: 90.00 90.00 90.00
Atoms (fractional coordinates):
Sr 0.500 0.500 0.500
Al 0.000 0.500 0.000
Cu 0.000 0.000 0.000
P 0.000 0.000 0.500
P 0.500 0.000 0.000

Density = 3.77 g/cm3
SG = P4/mmm (123)
D(E_F) = 3.142 states/eV/cell
Raw total energy = -4.0544 eV/atom
Spin magnetization = 0.00 Bohr magnetons per cell
ΔH_f (0 K) = 13.7 meV per atom
Distance to the lowest polymorph of the same formula = 3.20 eV per formula unit